(1)
## Al2CoCu (PBE)

Data for a relaxed structure of Al2CoCu.

Results
- total DFT energy (no corrections) (eV/atom) = -4.7806
- SG = No. 216
- formation energy from the elements (meV/atom) = -109
- size of the total moment (μB per formula unit) = 0.001

a b c (Å): 4.168 4.168 4.168
angles (deg): 60.00 60.00 60.00
Fractional coordinates of all 4 atoms:
Co 0.500 0.500 0.500
Al 0.000 0.000 0.000
Al 0.250 0.250 0.250
Cu 0.750 0.750 0.750



(2)
## PmH6Rh2Pb (PBE)

Data for a relaxed structure of PmH6Rh2Pb.

Results
- total DFT energy (no corrections) (eV/atom) = -4.5925
- SG = No. 15
- size of the total moment (μB per formula unit) = 0.000

a b c (Å): 7.151 7.151 4.698
angles (deg): 86.66 86.66 114.90
Fractional coordinates of all 20 atoms:
Rh 0.861 0.701 0.733
Rh 0.139 0.299 0.267
Rh 0.701 0.861 0.233
Rh 0.299 0.139 0.767
H 0.456 0.782 0.204
H 0.614 0.993 0.429
H 0.782 0.456 0.704
H 0.656 0.667 0.510
H 0.218 0.544 0.296
H 0.993 0.614 0.929
H 0.007 0.386 0.071
H 0.333 0.344 0.990
H 0.667 0.656 0.010
H 0.544 0.218 0.796
H 0.386 0.007 0.571
H 0.344 0.333 0.490
Pm 0.659 0.341 0.250
Pm 0.341 0.659 0.750
Pb 0.876 0.124 0.750
Pb 0.124 0.876 0.250



(3)
## CdCu2Hg (PBE)

Data for a relaxed structure of CdCu2Hg.

Results
- total DFT energy (no corrections) (eV/atom) = -2.2563
- SG = No. 99
- formation energy from the elements (meV/atom) = 96
- size of the total moment (μB per formula unit) = 0.000

a b c (Å): 3.211 3.211 6.569
angles (deg): 90.00 90.00 89.99
Fractional coordinates of all 4 atoms:
Hg 0.000 0.000 0.464
Cu 0.000 0.000 0.036
Cu 0.500 0.500 0.212
Cd 0.500 0.500 0.789



(4)
## Y4Zn3Rh (PBE)

Data for a relaxed structure of Y4Zn3Rh.

Results
- total DFT energy (no corrections) (eV/atom) = -5.1166
- SG = No. 123
- formation energy from the elements (meV/atom) = -488
- size of the total moment (μB per formula unit) = 0.001

a b c (Å): 3.559 3.559 14.072
angles (deg): 90.00 90.00 90.00
Fractional coordinates of all 8 atoms:
Y 0.000 0.000 0.372
Y 0.000 0.000 0.116
Y 0.000 0.000 0.884
Y 0.000 0.000 0.628
Zn 0.500 0.500 0.247
Zn 0.500 0.500 0.500
Zn 0.500 0.500 0.753
Rh 0.500 0.500 0.000



(5)
## ZrZn2Ge2 (PBE)

Data for a relaxed structure of ZrZn2Ge2.

Results
- energy above the most stable polymorph in this dataset (meV/atom) = 239
- total DFT energy (no corrections) (eV/atom) = -4.1580
- SG = No. 139
- formation energy from the elements (meV/atom) = -92
- size of the total moment (μB per formula unit) = 0.000

a b c (Å): 3.756 3.756 6.861
angles (deg): 74.11 74.11 90.00
Fractional coordinates of all 5 atoms:
Zn 0.250 0.750 0.500
Zn 0.750 0.250 0.500
Zr 0.000 0.000 0.000
Ge 0.398 0.398 0.205
Ge 0.602 0.602 0.795



(6)
## Hg3HPd (PBE)

Data for a relaxed structure of Hg3HPd.

Results
- energy above the most stable polymorph in this dataset (meV/atom) = 390
- total DFT energy (no corrections) (eV/atom) = -1.4713
- SG = No. 221
- size of the total moment (μB per formula unit) = 0.958

a b c (Å): 5.337 5.337 5.337
angles (deg): 90.00 90.00 90.00
Fractional coordinates of all 5 atoms:
Hg 0.000 0.000 0.500
Hg 0.000 0.500 0.000
Hg 0.500 0.000 0.000
H 0.500 0.500 0.500
Pd 0.000 0.000 0.000



(7)
## Cr2AsIr (PBE)

Data for a relaxed structure of Cr2AsIr.

Results
- total DFT energy (no corrections) (eV/atom) = -8.1050
- SG = No. 139
- formation energy from the elements (meV/atom) = 84
- size of the total moment (μB per formula unit) = 2.918

a b c (Å): 4.621 4.621 4.621
angles (deg): 131.73 131.73 70.66
Fractional coordinates of all 4 atoms:
Ir 0.250 0.750 0.500
Cr 0.500 0.500 0.000
Cr 0.000 0.000 0.000
As 0.750 0.250 0.500



(8)
## LiLaAu4 (PBE)

Data for a relaxed structure of LiLaAu4.

Results
- energy above the most stable polymorph in this dataset (meV/atom) = 138
- total DFT energy (no corrections) (eV/atom) = -3.7659
- SG = No. 119
- formation energy from the elements (meV/atom) = -441
- size of the total moment (μB per formula unit) = 0.000

a b c (Å): 3.913 3.913 9.796
angles (deg): 101.52 101.52 90.00
Fractional coordinates of all 6 atoms:
La 0.000 0.000 0.000
Au 0.820 0.320 0.641
Au 0.680 0.180 0.359
Au 0.422 0.422 0.844
Au 0.578 0.578 0.156
Li 0.250 0.750 0.500